Entry 1:
HfMg2Pb | PBE | optimized geometry

Unit cell a=3.267 b=3.267 c=10.638 alpha=81.17 beta=81.17 gamma=60.00
Fractional positions:
Mg: 0.247 0.247 0.258
Hf: 0.500 0.500 0.499
Pb: 0.666 0.666 0.002
Mg: 0.086 0.086 0.742

## Properties
space group = R3m
M_tot = 0.000 μB per cell
uncorrected energy = -16.54 eV/f.u.
ΔE_f = 0.0775 eV per atom



Entry 2:
HfMg3Pb | PBE | optimized geometry

Unit cell a=5.286 b=5.286 c=5.286 alpha=90.00 beta=90.00 gamma=90.00
Fractional positions:
Pb: 0.000 0.000 0.000
Mg: 0.000 0.500 0.000
Hf: 0.500 0.500 0.500
Mg: 0.000 0.000 0.500
Mg: 0.500 0.000 0.000

## Properties
space group = Pm-3m
M_tot = 0.000 μB per cell
uncorrected energy = -13.91 eV/f.u.
ΔE_f = 0.9074 eV per atom



Entry 3:
Hf3MgPb | PBE | optimized geometry

Unit cell a=5.033 b=5.033 c=5.033 alpha=90.00 beta=90.00 gamma=90.00
Fractional positions:
Hf: 0.500 0.000 0.000
Hf: 0.000 0.000 0.500
Mg: 0.000 0.000 0.000
Pb: 0.500 0.500 0.500
Hf: 0.000 0.500 0.000

## Properties
space group = Pm-3m
M_tot = 0.000 μB per cell
uncorrected energy = -30.05 eV/f.u.
ΔE_f = 1.0233 eV per atom



Entry 4:
HfMg2Pb | PBE | optimized geometry

Unit cell a=3.231 b=3.231 c=11.352 alpha=81.82 beta=81.82 gamma=60.00
Fractional positions:
Mg: 0.088 0.088 0.735
Hf: 0.000 0.000 0.000
Mg: 0.912 0.912 0.265
Pb: 0.500 0.500 0.500

## Properties
space group = R-3m
M_tot = 0.000 μB per cell
uncorrected energy = -15.40 eV/f.u.
ΔE_f = 0.3633 eV per atom



Entry 5:
HfMgPb | PBE | optimized geometry

Unit cell a=3.194 b=6.308 c=8.362 alpha=66.49 beta=86.60 gamma=70.22
Fractional positions:
Mg: 0.169 0.182 0.154
Mg: 0.831 0.818 0.846
Pb: 0.562 0.364 0.798
Pb: 0.438 0.636 0.202
Hf: 0.112 0.203 0.519
Hf: 0.888 0.797 0.481

## Properties
space group = P-1
M_tot = 0.000 μB per cell
uncorrected energy = -15.27 eV/f.u.
ΔE_f = -0.0045 eV per atom



Entry 6:
HfMg2Pb | PBE | optimized geometry

Unit cell a=3.350 b=3.350 c=8.419 alpha=90.00 beta=90.00 gamma=90.00
Fractional positions:
Mg: 0.000 0.000 0.740
Hf: 0.500 0.500 0.500
Mg: 0.000 0.000 0.260
Pb: 0.500 0.500 0.000

## Properties
space group = P4/mmm
M_tot = 0.000 μB per cell
uncorrected energy = -16.52 eV/f.u.
ΔE_f = 0.0839 eV per atom



Entry 7:
HfMgRuPb2 | PBE | optimized geometry

Unit cell a=5.285 b=4.937 c=5.285 alpha=90.00 beta=90.00 gamma=90.00
Fractional positions:
Mg: 0.500 0.500 0.500
Ru: 0.000 0.000 0.000
Pb: 0.500 0.000 0.000
Pb: 0.000 0.000 0.500
Hf: 0.000 0.500 0.000

## Properties
space group = P4/mmm
M_tot = 0.000 μB per cell
uncorrected energy = -26.34 eV/f.u.
ΔE_f = 0.3794 eV per atom



Entry 8:
HfMg2ScPb | PBE | optimized geometry

Unit cell a=5.200 b=5.545 c=5.200 alpha=90.00 beta=90.00 gamma=90.00
Site moments in Bohr magnetons follow the coordinates.
Fractional positions:
Hf: 0.000 0.500 0.000  0.37
Pb: 0.000 0.000 0.000  -0.01
Mg: 0.500 0.000 0.000  0.00
Sc: 0.500 0.500 0.500  0.39
Mg: 0.000 0.000 0.500  0.00

## Properties
space group = P4/mmm
M_tot = 1.250 μB per cell
uncorrected energy = -19.25 eV/f.u.
ΔE_f = 0.7870 eV per atom



Q: The lowest uncorrected energy belongs to which entry?
A: Hf3MgPb



What did the fifth record say?
HfMgPb | PBE | optimized geometry

Unit cell a=3.194 b=6.308 c=8.362 alpha=66.49 beta=86.60 gamma=70.22
Fractional positions:
Mg: 0.169 0.182 0.154
Mg: 0.831 0.818 0.846
Pb: 0.562 0.364 0.798
Pb: 0.438 0.636 0.202
Hf: 0.112 0.203 0.519
Hf: 0.888 0.797 0.481

## Properties
space group = P-1
M_tot = 0.000 μB per cell
uncorrected energy = -15.27 eV/f.u.
ΔE_f = -0.0045 eV per atom